[1]
# PBE-GGA LiCoBRh2, optimized geometry
data_LiCoBRh2
_chemical_formula_sum 'Li1 Co1 B1 Rh2'
_cell_length_a 4.0854
_cell_length_b 4.0854
_cell_length_c 3.8475
_cell_angle_alpha 90.00
_cell_angle_beta 90.00
_cell_angle_gamma 90.00
_symmetry_space_group_name_H-M 'P 4/m m m'
_symmetry_Int_Tables_number 123
_symmetry_space_group_name_Hall '-P 4 2'
loop_
_atom_site_label
_atom_site_fract_x
_atom_site_fract_y
_atom_site_fract_z
_atom_site_occupancy
Li1 0.0000 0.0000 0.0000 1
Co1 0.5000 0.5000 0.0000 1
B1 0.5000 0.5000 0.5000 1
Rh1 0.0000 0.5000 0.5000 1
# Uncorrected energy   -6.146 eV/atom

=====

[2]
# PBE-GGA LiCoSi2B, optimized geometry
data_LiCoSi2B
_chemical_formula_sum 'Li1 Co1 Si2 B1'
_cell_length_a 4.3647
_cell_length_b 4.3647
_cell_length_c 3.8001
_cell_angle_alpha 90.00
_cell_angle_beta 90.00
_cell_angle_gamma 90.00
_symmetry_space_group_name_H-M 'P 4/m m m'
_symmetry_Int_Tables_number 123
_symmetry_space_group_name_Hall '-P 4 2'
loop_
_atom_site_label
_atom_site_fract_x
_atom_site_fract_y
_atom_site_fract_z
_atom_site_occupancy
Li1 0.0000 0.0000 0.0000 1
Co1 0.5000 0.5000 0.5000 1
Si1 0.0000 0.5000 0.5000 1
B1 0.5000 0.5000 0.0000 1
# Energy relative to the elements, uncorrected   0.41 eV/atom

=====

[3]
# PBE-GGA Li2CoBW, optimized geometry
data_Li2CoBW
_chemical_formula_sum 'Li2 Co1 B1 W1'
_cell_length_a 4.7799
_cell_length_b 4.7799
_cell_length_c 4.0410
_cell_angle_alpha 90.00
_cell_angle_beta 90.00
_cell_angle_gamma 90.00
_symmetry_space_group_name_H-M 'P 4/m m m'
_symmetry_Int_Tables_number 123
_symmetry_space_group_name_Hall '-P 4 2'
loop_
_atom_site_label
_atom_site_fract_x
_atom_site_fract_y
_atom_site_fract_z
_atom_site_occupancy
Li1 0.0000 0.5000 0.0000 1
Co1 0.0000 0.0000 0.5000 1
B1 0.5000 0.5000 0.5000 1
W1 0.5000 0.5000 0.0000 1
# Uncorrected energy   -4.329 eV/atom

=====

[4]
# PBE-GGA LiCoB2W, optimized geometry
data_LiCoB2W
_chemical_formula_sum 'Li1 Co1 B2 W1'
_cell_length_a 3.7160
_cell_length_b 3.7160
_cell_length_c 3.6948
_cell_angle_alpha 90.00
_cell_angle_beta 90.00
_cell_angle_gamma 90.00
_symmetry_space_group_name_H-M 'P 4/m m m'
_symmetry_Int_Tables_number 123
_symmetry_space_group_name_Hall '-P 4 2'
loop_
_atom_site_label
_atom_site_fract_x
_atom_site_fract_y
_atom_site_fract_z
_atom_site_occupancy
Li1 0.0000 0.0000 0.0000 1
Co1 0.0000 0.0000 0.5000 1
B1 0.0000 0.5000 0.5000 1
W1 0.5000 0.5000 0.0000 1
# Uncorrected energy   -6.178 eV/atom

=====

[5]
# PBE-GGA LiYCo2B, optimized geometry
data_LiYCo2B
_chemical_formula_sum 'Li1 Y1 Co2 B1'
_cell_length_a 3.9548
_cell_length_b 3.9548
_cell_length_c 4.1435
_cell_angle_alpha 90.00
_cell_angle_beta 90.00
_cell_angle_gamma 90.00
_symmetry_space_group_name_H-M 'P 4/m m m'
_symmetry_Int_Tables_number 123
_symmetry_space_group_name_Hall '-P 4 2'
loop_
_atom_site_label
_atom_site_fract_x
_atom_site_fract_y
_atom_site_fract_z
_atom_site_occupancy
Li1 0.0000 0.0000 0.0000 1
Y1 0.5000 0.5000 0.0000 1
Co1 0.0000 0.5000 0.5000 1
B1 0.0000 0.0000 0.5000 1
# Uncorrected energy   -6.043 eV/atom

=====

[6]
# PBE-GGA Lu2CoB6, optimized geometry
data_Lu2CoB6
_chemical_formula_sum 'Lu8 Co4 B24'
_cell_length_a 8.9836
_cell_length_b 11.3227
_cell_length_c 3.4887
_cell_angle_alpha 90.00
_cell_angle_beta 90.00
_cell_angle_gamma 90.00
_symmetry_space_group_name_H-M 'P b a m'
_symmetry_Int_Tables_number 55
loop_
_symmetry_equiv_pos_as_xyz
'x,y,z'
'-x,-y,-z'
'-x,-y,z'
'x,y,-z'
'x+1/2,-y+1/2,-z'
'-x+1/2,y+1/2,z'
'-x+1/2,y+1/2,-z'
'x+1/2,-y+1/2,z'
loop_
_atom_site_label
_atom_site_fract_x
_atom_site_fract_y
_atom_site_fract_z
_atom_site_occupancy
Lu1 0.0562 0.1290 0.0000 1
Lu2 0.1762 0.4146 0.0000 1
Co1 0.1400 0.6799 0.0000 1
B1 0.0150 0.2886 0.5000 1
B2 0.0535 0.5666 0.5000 1
B3 0.1071 0.9711 0.5000 1
B4 0.1337 0.8159 0.5000 1
B5 0.2070 0.2361 0.5000 1
B6 0.2478 0.5815 0.5000 1
# Uncorrected energy   -6.898 eV/atom

=====

[7]
# PBE-GGA LuCo4B4, optimized geometry
data_LuCo4B4
_chemical_formula_sum 'Lu2 Co8 B8'
_cell_length_a 4.9791
_cell_length_b 4.9791
_cell_length_c 6.9189
_cell_angle_alpha 90.00
_cell_angle_beta 90.00
_cell_angle_gamma 90.00
_symmetry_space_group_name_H-M 'P 42/n m c'
_symmetry_Int_Tables_number 137
loop_
_symmetry_equiv_pos_as_xyz
'x,y,z'
'-x,-y,-z'
'-y+1/2,x,z+1/2'
'y+1/2,-x,-z+1/2'
'-x+1/2,-y+1/2,z'
'x+1/2,y+1/2,-z'
'y,-x+1/2,z+1/2'
'-y,x+1/2,-z+1/2'
'x+1/2,-y,-z'
'-x+1/2,y,z'
'-y,-x,-z+1/2'
'y,x,z+1/2'
'-x,y+1/2,-z'
'x,-y+1/2,z'
'y+1/2,x+1/2,-z+1/2'
'-y+1/2,-x+1/2,z+1/2'
loop_
_atom_site_label
_atom_site_fract_x
_atom_site_fract_y
_atom_site_fract_z
_atom_site_occupancy
Lu1 0.2500 0.7500 0.2500 1
Co1 0.0032 0.7500 0.6128 1
B1 0.0745 0.2500 0.0914 1
# Uncorrected energy   -7.156 eV/atom

=====

[8]
# PBE-GGA LuCo2B, optimized geometry
data_LuCo2B
_chemical_formula_sum 'Lu3 Co6 B3'
_cell_length_a 3.6124
_cell_length_b 3.6124
_cell_length_c 14.2022
_cell_angle_alpha 90.00
_cell_angle_beta 90.00
_cell_angle_gamma 120.00
_symmetry_space_group_name_H-M 'R -3 m'
_symmetry_Int_Tables_number 166
_symmetry_space_group_name_Hall '-R 3 2"'
loop_
_atom_site_label
_atom_site_fract_x
_atom_site_fract_y
_atom_site_fract_z
_atom_site_occupancy
Lu1 0.0000 0.0000 0.0000 1
Co1 0.0000 0.0000 0.1979 1
B1 0.0000 0.0000 0.5000 1
# Uncorrected energy   -6.580 eV/atom

=====

[9]
# PBE-GGA Lu4CoB13, optimized geometry
data_Lu4CoB13
_chemical_formula_sum 'Lu8 Co2 B26'
_cell_length_a 7.2159
_cell_length_b 7.2159
_cell_length_c 6.7558
_cell_angle_alpha 90.00
_cell_angle_beta 90.00
_cell_angle_gamma 90.00
_symmetry_space_group_name_H-M 'P 4/m n c'
_symmetry_Int_Tables_number 128
_symmetry_space_group_name_Hall '-P 4 2n'
loop_
_atom_site_label
_atom_site_fract_x
_atom_site_fract_y
_atom_site_fract_z
_atom_site_occupancy
Lu1 0.1815 0.3155 0.0000 1
Co1 0.0000 0.0000 0.5000 1
B1 0.0000 0.0000 0.0000 1
B2 0.0390 0.8289 0.2452 1
B3 0.0898 0.5898 0.2500 1
# Uncorrected energy   -6.750 eV/atom

=====

[10]
# PBE-GGA LuCoB, optimized geometry
data_LuCoB
_chemical_formula_sum 'Lu1 Co1 B1'
_cell_length_a 3.5089
_cell_length_b 3.5089
_cell_length_c 3.8926
_cell_angle_alpha 90.00
_cell_angle_beta 90.00
_cell_angle_gamma 120.00
_symmetry_space_group_name_H-M 'P -6 m 2'
_symmetry_Int_Tables_number 187
_symmetry_space_group_name_Hall 'P -6 2'
loop_
_atom_site_label
_atom_site_fract_x
_atom_site_fract_y
_atom_site_fract_z
_atom_site_occupancy
Lu1 0.0000 0.0000 0.0000 1
Co1 0.3333 0.6667 0.5000 1
B1 0.6667 0.3333 0.5000 1
# Uncorrected energy   -6.509 eV/atom

=====

[11]
# PBE-GGA LuCoB2, optimized geometry
data_LuCoB2
_chemical_formula_sum 'Lu3 Co3 B6'
_cell_length_a 3.4350
_cell_length_b 3.4350
_cell_length_c 13.4674
_cell_angle_alpha 90.00
_cell_angle_beta 90.00
_cell_angle_gamma 120.00
_symmetry_space_group_name_H-M 'R -3 m'
_symmetry_Int_Tables_number 166
_symmetry_space_group_name_Hall '-R 3 2"'
loop_
_atom_site_label
_atom_site_fract_x
_atom_site_fract_y
_atom_site_fract_z
_atom_site_occupancy
Lu1 0.0000 0.0000 0.0000 1
Co1 0.0000 0.0000 0.5000 1
B1 0.0000 0.0000 0.1969 1
# Uncorrected energy   -6.672 eV/atom

=====

[12]
# PBE-GGA LuCo3B2, optimized geometry
data_LuCo3B2
_chemical_formula_sum 'Lu1 Co3 B2'
_cell_length_a 4.9446
_cell_length_b 4.9446
_cell_length_c 3.0103
_cell_angle_alpha 90.00
_cell_angle_beta 90.00
_cell_angle_gamma 120.00
_symmetry_space_group_name_H-M 'P 6/m m m'
_symmetry_Int_Tables_number 191
_symmetry_space_group_name_Hall '-P 6 2'
loop_
_atom_site_label
_atom_site_fract_x
_atom_site_fract_y
_atom_site_fract_z
_atom_site_occupancy
Lu1 0.0000 0.0000 0.0000 1
Co1 0.0000 0.5000 0.5000 1
B1 0.3333 0.6667 0.0000 1
# Uncorrected energy   -7.071 eV/atom

=====

[13]
# PBE-GGA MgCo2B2, optimized geometry
data_MgCo2B2
_chemical_formula_sum 'Mg2 Co4 B4'
_cell_length_a 5.9396
_cell_length_b 5.9396
_cell_length_c 2.5911
_cell_angle_alpha 90.00
_cell_angle_beta 90.00
_cell_angle_gamma 90.00
_symmetry_space_group_name_H-M 'P 4/m b m'
_symmetry_Int_Tables_number 127
_symmetry_space_group_name_Hall '-P 4 2ab'
loop_
_atom_site_label
_atom_site_fract_x
_atom_site_fract_y
_atom_site_fract_z
_atom_site_occupancy
Mg1 0.0000 0.0000 0.0000 1
Co1 0.1681 0.3319 0.5000 1
B1 0.1124 0.6124 0.0000 1
# Uncorrected energy   -5.961 eV/atom

=====

[14]
# PBE-GGA MgCoB6, optimized geometry
data_MgCoB6
_chemical_formula_sum 'Mg2 Co2 B12'
_cell_length_a 9.4401
_cell_length_b 2.9065
_cell_length_c 6.8815
_cell_angle_alpha 90.00
_cell_angle_beta 133.18
_cell_angle_gamma 90.00
_symmetry_space_group_name_H-M 'C 1 2/m 1'
_symmetry_Int_Tables_number 12
loop_
_symmetry_equiv_pos_as_xyz
'x,y,z'
'-x,-y,-z'
'-x,y,-z'
'x,-y,z'
'x+1/2,y+1/2,z'
'-x+1/2,-y+1/2,-z'
'-x+1/2,y+1/2,-z'
'x+1/2,-y+1/2,z'
loop_
_atom_site_label
_atom_site_fract_x
_atom_site_fract_y
_atom_site_fract_z
_atom_site_occupancy
Mg1 0.0000 0.0000 0.0000 1
Co1 0.0000 0.5000 0.5000 1
B1 0.1909 0.5000 0.9032 1
B2 0.2203 0.0000 0.7816 1
B3 0.2476 0.5000 0.4320 1
# Uncorrected energy   -6.020 eV/atom

=====

[15]
# PBE-GGA MgCo22B6, optimized geometry
data_MgCo22B6
_chemical_formula_sum 'Mg4 Co88 B24'
_cell_length_a 10.4499
_cell_length_b 10.4499
_cell_length_c 10.4499
_cell_angle_alpha 90.00
_cell_angle_beta 90.00
_cell_angle_gamma 90.00
_symmetry_space_group_name_H-M 'F m -3 m'
_symmetry_Int_Tables_number 225
_symmetry_space_group_name_Hall '-F 4 2 3'
loop_
_atom_site_label
_atom_site_fract_x
_atom_site_fract_y
_atom_site_fract_z
_atom_site_occupancy
Mg1 0.0000 0.0000 0.0000 1
Co1 0.0000 0.1718 0.1718 1
Co2 0.1194 0.1194 0.3806 1
Co3 0.2500 0.2500 0.2500 1
B1 0.0000 0.0000 0.2746 1
# Uncorrected energy   -6.976 eV/atom

=====

[16]
# PBE-GGA Mg2Co7B2, optimized geometry
data_Mg2Co7B2
_chemical_formula_sum 'Mg4 Co14 B4'
_cell_length_a 10.7699
_cell_length_b 8.2453
_cell_length_c 2.8306
_cell_angle_alpha 90.00
_cell_angle_beta 105.18
_cell_angle_gamma 90.00
_symmetry_space_group_name_H-M 'C 1 2/m 1'
_symmetry_Int_Tables_number 12
loop_
_symmetry_equiv_pos_as_xyz
'x,y,z'
'-x,-y,-z'
'-x,y,-z'
'x,-y,z'
'x+1/2,y+1/2,z'
'-x+1/2,-y+1/2,-z'
'-x+1/2,y+1/2,-z'
'x+1/2,-y+1/2,z'
loop_
_atom_site_label
_atom_site_fract_x
_atom_site_fract_y
_atom_site_fract_z
_atom_site_occupancy
Mg1 0.1261 0.0000 0.1272 1
Co1 0.0000 0.5000 0.5000 1
Co2 0.1423 0.2597 0.6427 1
Co3 0.1806 0.5000 0.1809 1
B1 0.0000 0.3061 0.0000 1
# Uncorrected energy   -5.988 eV/atom

=====

[17]
# PBE-GGA MgCo3B, optimized geometry
data_MgCo3B
_chemical_formula_sum 'Mg1 Co3 B1'
_cell_length_a 4.2753
_cell_length_b 4.2753
_cell_length_c 4.2753
_cell_angle_alpha 90.00
_cell_angle_beta 90.00
_cell_angle_gamma 90.00
_symmetry_space_group_name_H-M 'P m -3 m'
_symmetry_Int_Tables_number 221
_symmetry_space_group_name_Hall '-P 4 2 3'
loop_
_atom_site_label
_atom_site_fract_x
_atom_site_fract_y
_atom_site_fract_z
_atom_site_occupancy
Mg1 0.0000 0.0000 0.0000 1
Co1 0.0000 0.0000 0.5000 1
B1 0.5000 0.5000 0.5000 1
# Uncorrected energy   -3.672 eV/atom

=====

[18]
# PBE-GGA MgCo2B, optimized geometry
data_MgCo2B
_chemical_formula_sum 'Mg1 Co2 B1'
_cell_length_a 2.5853
_cell_length_b 2.5853
_cell_length_c 6.3444
_cell_angle_alpha 90.00
_cell_angle_beta 90.00
_cell_angle_gamma 90.00
_symmetry_space_group_name_H-M 'P 4/m m m'
_symmetry_Int_Tables_number 123
_symmetry_space_group_name_Hall '-P 4 2'
loop_
_atom_site_label
_atom_site_fract_x
_atom_site_fract_y
_atom_site_fract_z
_atom_site_occupancy
Mg1 0.0000 0.0000 0.0000 1
Co1 0.5000 0.5000 0.3171 1
B1 0.0000 0.0000 0.5000 1
# Uncorrected energy   -5.621 eV/atom

=====

[19]
# PBE-GGA MgCo6B6, optimized geometry
data_MgCo6B6
_chemical_formula_sum 'Mg2 Co12 B12'
_cell_length_a 4.1783
_cell_length_b 7.1462
_cell_length_c 7.2044
_cell_angle_alpha 90.00
_cell_angle_beta 90.00
_cell_angle_gamma 90.00
_symmetry_space_group_name_H-M 'I m m m'
_symmetry_Int_Tables_number 71
_symmetry_space_group_name_Hall '-I 2 2'
loop_
_atom_site_label
_atom_site_fract_x
_atom_site_fract_y
_atom_site_fract_z
_atom_site_occupancy
Mg1 0.0000 0.0000 0.0000 1
Co1 0.0000 0.0000 0.3420 1
Co2 0.0000 0.3349 0.0000 1
Co3 0.0000 0.5000 0.3183 1
B1 0.0000 0.2622 0.5000 1
B2 0.2500 0.2500 0.2500 1
# Uncorrected energy   -6.532 eV/atom

=====

[20]
# PBE-GGA Mg2Co2B, optimized geometry
data_Mg2Co2B
_chemical_formula_sum 'Mg4 Co4 B2'
_cell_length_a 5.4262
_cell_length_b 5.4262
_cell_length_c 4.1857
_cell_angle_alpha 90.00
_cell_angle_beta 90.00
_cell_angle_gamma 90.00
_symmetry_space_group_name_H-M 'P 4/m b m'
_symmetry_Int_Tables_number 127
_symmetry_space_group_name_Hall '-P 4 2ab'
loop_
_atom_site_label
_atom_site_fract_x
_atom_site_fract_y
_atom_site_fract_z
_atom_site_occupancy
Mg1 0.1716 0.3284 0.0000 1
Co1 0.1525 0.6525 0.5000 1
B1 0.0000 0.0000 0.5000 1
# Uncorrected energy   -4.876 eV/atom

=====

DOS at the Fermi energy? In order: 1.190; 0.654; 0.457; 0.373; 0.345; 0.327; 0.651; 1.214; 0.334; 0.584; 0.598; 0.614; 0.555; 0.306; 0.868; 0.724; 0.896; 1.164; 0.685; 0.371 states/eV/atom.